Here is a geometry-optimized KZr2AlBi structure from Alexandria via LeMat-Bulk. Energies are from GGA-PBE.

Structure (POSCAR):
```
KZr2AlBi
1.0
5.596 0.000 0.000
0.000 5.596 0.000
0.000 0.000 5.662
K Zr Al Bi
1 2 1 1
direct
0.000 0.000 0.000
0.000 0.500 0.500
0.500 0.000 0.500
0.500 0.500 0.000
0.500 0.500 0.500
```

---

GGA-PBE LaAl3Bi, optimized geometry; energy above the lowest structure with this stoichiometry = 462 meV/atom
1.0
5.662 0.000 0.000
0.000 5.662 0.000
0.000 0.000 5.662
La Al Bi
1 3 1
direct
0.000 0.000 0.000
0.000 0.000 0.500
0.000 0.500 0.000
0.500 0.000 0.000
0.500 0.500 0.500

---

Here is a geometry-optimized LaAlBi2 structure from Alexandria via LeMat-Bulk. Energies are from GGA-PBE.

Structure (POSCAR):
```
LaAlBi2
1.0
4.933 0.000 0.000
0.000 4.933 0.000
0.000 0.000 4.707
La Al Bi
1 1 2
direct
0.000 0.000 0.000
0.500 0.500 0.000
0.000 0.500 0.500
0.500 0.000 0.500
```

---

Here is a geometry-optimized LaAl2Bi structure from Alexandria via LeMat-Bulk. Energies are from GGA-PBE.

Structure (POSCAR):
```
LaAl2Bi
1.0
4.709 0.000 0.000
0.000 4.709 0.000
0.000 0.000 4.583
La Al Bi
1 2 1
direct
0.000 0.000 0.000
0.000 0.500 0.500
0.500 0.000 0.500
0.500 0.500 0.000
```

---

GGA-PBE LaAl2Bi2, optimized geometry; energy above the lowest structure with this stoichiometry = 51 meV/atom
1.0
-2.100 2.100 8.073
2.100 -2.100 8.073
2.100 2.100 -8.073
La Al Bi
1 2 2
direct
0.000 0.000 0.000
0.250 0.750 0.500
0.750 0.250 0.500
0.396 0.396 0.000
0.604 0.604 0.000

---

GGA-PBE LaAl3Bi, optimized geometry; energy above the lowest structure with this stoichiometry = 0 meV/atom
1.0
5.416 0.000 0.000
0.000 5.416 0.000
0.000 0.000 5.416
La Al Bi
1 3 1
direct
0.000 0.000 0.000
0.000 0.500 0.500
0.500 0.000 0.500
0.500 0.500 0.000
0.500 0.500 0.500

---

| no. | D(E_F) (states/eV/f.u.) | formation enthalpy at 0 K (eV/f.u.) |
| --- | --- | --- |
| 1 | 7.84 | 5.1 |
| 2 | 4.41 | 5.5 |
| 3 | 1.59 | -1.7 |
| 4 | 1.88 | -1.4 |
| 5 | 2.49 | -0.7 |
| 6 | 3.56 | 3.2 |